Record 1
A plane-wave DFT calculation with PBE was carried out for a relaxed structure of Hf3Rh.

abc: 3.2863 3.2863 7.3165
angles: 90.00 90.00 90.00
With the nearest neighbours (Å) after each atom.
Element x y z (fractional)
Hf1 0.0000 0.0000 0.0000  12 Hf 3.10-3.29
Hf2 0.5000 0.5000 0.2800  4 Rh 2.83, 4 Hf 3.10
Hf3 0.5000 0.5000 0.7200  4 Rh 2.83, 4 Hf 3.10
Rh1 0.0000 0.0000 0.5000  8 Hf 2.83

Results
The final energy is -9.755 eV per atom. As for the space group: P4/mmm (123). The value obtained for the formation enthalpy at 0 K is -452 meV/atom. The calculation puts the total moment at 0.00 μB/f.u.

=====

Record 2
A plane-wave DFT calculation with PBE was carried out for a relaxed structure of ScIr.

abc: 5.3377 5.3377 5.3400
angles: 90.00 90.00 90.00
With the nearest neighbours (Å) after each atom.
Element x y z (fractional)
Sc1 0.2079 0.2079 0.0000  6 Ir 2.66-2.77
Sc2 0.2921 0.7079 0.5000  6 Ir 2.66-2.77
Sc3 0.7079 0.2921 0.5000  6 Ir 2.66-2.77
Sc4 0.7921 0.7921 0.0000  6 Ir 2.66-2.77
Ir1 0.1979 0.1979 0.5000  6 Sc 2.66-2.77
Ir2 0.3021 0.6979 0.0000  6 Sc 2.66-2.77
Ir3 0.6979 0.3021 0.0000  6 Sc 2.66-2.77
Ir4 0.8021 0.8021 0.5000  6 Sc 2.66-2.77

Results
The final energy is -8.028 eV per atom. As for the space group: P4_2/mnm (136). The value obtained for the formation enthalpy at 0 K is -432 meV/atom. The calculation puts the total moment at 0.00 μB/f.u.

=====

Record 3
A plane-wave DFT calculation with PBE was carried out for a relaxed structure of KCo2SbCl.

abc: 4.7904 4.7904 6.2263
angles: 90.00 90.00 90.00
With the nearest neighbours (Å) after each atom.
Element x y z (fractional)
K1 0.0000 0.0000 0.0000  4 Co 2.40
Co1 0.0000 0.5000 0.0000  2 K 2.40
Co2 0.5000 0.0000 0.0000  2 K 2.40
Sb1 0.0000 0.0000 0.5000  2 K 3.11, 4 Cl 3.39
Cl1 0.5000 0.5000 0.5000  4 Sb 3.39

Results
The final energy is -2.276 eV per atom. As for the space group: P4/mmm (123). The calculation puts the total moment at 3.03 μB/f.u. The energy relative to the elements, uncorrected comes out at 1.98 eV per atom.

=====

Record 4
A plane-wave DFT calculation with PBE was carried out for a relaxed structure of InIr2W.

abc: 9.1788 9.1788 9.1788
angles: 18.13 18.13 18.13
With the nearest neighbours (Å) after each atom.
Element x y z (fractional)
In1 0.0000 0.0000 0.0000  6 In 2.89, 6 Ir 2.90
Ir1 0.2456 0.2456 0.2456  3 W 2.71, 6 Ir 2.89, 3 In 2.90
Ir2 0.7544 0.7544 0.7544  3 W 2.71, 6 Ir 2.89, 3 In 2.90
W1 0.5000 0.5000 0.5000  6 Ir 2.71, 6 W 2.89

Results
The final energy is -8.326 eV per atom. As for the space group: R-3m (166). The value obtained for the formation enthalpy at 0 K is 27 meV/atom. The calculation puts the total moment at 0.00 μB/f.u.

=====

Record 5
A plane-wave DFT calculation with PBE was carried out for a relaxed structure of LaPr3Dy6Er2.

abc: 6.2368 6.2368 11.9007
angles: 95.00 95.00 119.99
With the nearest neighbours (Å) after each atom.
Element x y z (fractional)
La1 0.0000 0.0000 0.0000  6 Dy 3.57, 6 Er 3.60
Pr1 0.1670 0.8330 0.5000  6 Pr 3.60-3.61, 6 Dy 3.61-3.62
Pr2 0.5000 0.5000 0.5000  6 Pr 3.60, 6 Dy 3.61-3.62
Pr3 0.8330 0.1670 0.5000  6 Pr 3.60-3.61, 6 Dy 3.61-3.62
Dy1 0.0830 0.4177 0.2474  2 Er 3.56-3.57, 1 La 3.57, 6 Dy 3.59-3.62, 3 Pr 3.61-3.62
Dy2 0.2519 0.2519 0.7523  2 Er 3.57, 1 La 3.57, 6 Dy 3.59-3.62, 3 Pr 3.61-3.62
Dy3 0.4177 0.0830 0.2474  2 Er 3.56-3.57, 1 La 3.57, 6 Dy 3.59-3.62, 3 Pr 3.61-3.62
Dy4 0.5823 0.9170 0.7526  2 Er 3.56-3.57, 1 La 3.57, 6 Dy 3.59-3.62, 3 Pr 3.61-3.62
Dy5 0.7481 0.7481 0.2477  2 Er 3.57, 1 La 3.57, 6 Dy 3.59-3.62, 3 Pr 3.61-3.62
Dy6 0.9170 0.5823 0.7526  2 Er 3.56-3.57, 1 La 3.57, 6 Dy 3.59-3.62, 3 Pr 3.61-3.62
Er1 0.3333 0.6667 0.0000  6 Dy 3.56-3.57, 3 La 3.60, 3 Er 3.60
Er2 0.6667 0.3333 0.0000  6 Dy 3.56-3.57, 3 La 3.60, 3 Er 3.60

Results
The final energy is -4.643 eV per atom. As for the space group: C2/m (12). The value obtained for the formation enthalpy at 0 K is 24 meV/atom. The calculation puts the total moment at 0.02 μB/f.u.

=====

Record 6
A plane-wave DFT calculation with PBE was carried out for a relaxed structure of Y2CrBiC.

abc: 5.0945 5.0945 4.0310
angles: 90.00 90.00 90.00
With the nearest neighbours (Å) after each atom.
Element x y z (fractional)
Y1 0.0000 0.5000 0.0000  2 C 2.55
Y2 0.5000 0.0000 0.0000  2 C 2.55
Cr1 0.0000 0.0000 0.5000  2 C 2.02
Bi1 0.5000 0.5000 0.5000  8 Y 3.25, 4 Cr 3.60
C1 0.0000 0.0000 0.0000  2 Cr 2.02

Results
The final energy is -7.452 eV per atom. As for the space group: P4/mmm (123). The value obtained for the formation enthalpy at 0 K is -320 meV/atom. The calculation puts the total moment at 2.68 μB/f.u.

=====

Record 7
A plane-wave DFT calculation with PBE was carried out for a relaxed structure of Ca2Al2ZnRh5.

abc: 10.1932 10.1932 3.2068
angles: 90.00 90.00 90.00
With the nearest neighbours (Å) after each atom.
Element x y z (fractional)
Ca1 0.1729 0.3271 0.0000  3 Al 2.85-3.11, 10 Rh 2.96-3.17
Ca2 0.3271 0.8271 0.0000  3 Al 2.85-3.11, 10 Rh 2.96-3.17
Ca3 0.6729 0.1729 0.0000  3 Al 2.85-3.11, 10 Rh 2.96-3.17
Ca4 0.8271 0.6729 0.0000  3 Al 2.85-3.11, 10 Rh 2.96-3.17
Al1 0.1293 0.6293 0.0000  6 Rh 2.46-2.47
Al2 0.3707 0.1293 0.0000  6 Rh 2.46-2.47
Al3 0.6293 0.8707 0.0000  6 Rh 2.46-2.47
Al4 0.8707 0.3707 0.0000  6 Rh 2.46-2.47
Zn1 0.0000 0.0000 0.0000  8 Rh 2.67
Zn2 0.5000 0.5000 0.0000  8 Rh 2.67
Rh1 0.0000 0.5000 0.5000  4 Al 2.46
Rh2 0.0634 0.8008 0.5000  2 Al 2.47, 2 Zn 2.67
Rh3 0.1992 0.0634 0.5000  2 Al 2.47, 2 Zn 2.67
Rh4 0.3008 0.5634 0.5000  2 Al 2.47, 2 Zn 2.67
Rh5 0.4366 0.3008 0.5000  2 Al 2.47, 2 Zn 2.67
Rh6 0.5000 0.0000 0.5000  4 Al 2.46
Rh7 0.5634 0.6992 0.5000  2 Al 2.47, 2 Zn 2.67
Rh8 0.6992 0.4366 0.5000  2 Al 2.47, 2 Zn 2.67
Rh9 0.8008 0.9366 0.5000  2 Al 2.47, 2 Zn 2.67
Rh10 0.9366 0.1992 0.5000  2 Al 2.47, 2 Zn 2.67

Results
The final energy is -5.550 eV per atom. As for the space group: P4/mbm (127). The value obtained for the formation enthalpy at 0 K is -598 meV/atom. The calculation puts the total moment at 0.00 μB/f.u.

=====

Record 8
A plane-wave DFT calculation with PBE was carried out for a relaxed structure of MgFeW2.

abc: 2.8256 2.8256 7.6647
angles: 90.00 90.00 90.00
With the nearest neighbours (Å) after each atom.
Element x y z (fractional)
Mg1 0.0000 0.0000 0.0000  4 Fe 2.71, 4 Mg 2.83, 4 W 2.98
Fe1 0.5000 0.5000 0.7615  4 W 2.45, 4 Mg 2.71
W1 0.0000 0.0000 0.5756  4 Fe 2.45
W2 0.5000 0.5000 0.2885  8 W 2.83-2.97, 4 Mg 2.98

Results
The final energy is -8.655 eV per atom. As for the space group: P4mm (99). The value obtained for the formation enthalpy at 0 K is 336 meV/atom. The calculation puts the total moment at 0.02 μB/f.u.

=====

Record 9
A plane-wave DFT calculation with PBE was carried out for a relaxed structure of La3Ni6As5.

abc: 4.0629 12.2579 9.8904
angles: 90.00 90.00 90.00
With the nearest neighbours (Å) after each atom.
Element x y z (fractional)
La1 0.2500 0.0881 0.2447  7 Ni 3.08-3.29, 6 As 3.12-3.15
La2 0.2500 0.4119 0.2447  7 Ni 3.08-3.29, 6 As 3.12-3.15
La3 0.2500 0.7500 0.2524  6 As 3.06-3.10, 10 Ni 3.11-3.31
La4 0.7500 0.2500 0.7476  6 As 3.06-3.10, 10 Ni 3.11-3.31
La5 0.7500 0.5881 0.7553  7 Ni 3.08-3.29, 6 As 3.12-3.15
La6 0.7500 0.9119 0.7553  7 Ni 3.08-3.29, 6 As 3.12-3.15
Ni1 0.2500 0.0688 0.8861  4 As 2.43-2.48, 1 Ni 2.49
Ni2 0.2500 0.2500 0.5092  4 As 2.38-2.45
Ni3 0.2500 0.2500 0.9988  2 Ni 2.49, 4 As 2.63
Ni4 0.2500 0.4312 0.8861  4 As 2.43-2.48, 1 Ni 2.49
Ni5 0.2500 0.5778 0.4944  4 As 2.40-2.43
Ni6 0.2500 0.9222 0.4944  4 As 2.40-2.43
Ni7 0.7500 0.0778 0.5056  4 As 2.40-2.43
Ni8 0.7500 0.4222 0.5056  4 As 2.40-2.43
Ni9 0.7500 0.5688 0.1139  4 As 2.43-2.48, 1 Ni 2.49
Ni10 0.7500 0.7500 0.0012  2 Ni 2.49, 4 As 2.63
Ni11 0.7500 0.7500 0.4908  4 As 2.38-2.45
Ni12 0.7500 0.9312 0.1139  4 As 2.43-2.48, 1 Ni 2.49
As1 0.2500 0.0800 0.6386  5 Ni 2.40-2.45
As2 0.2500 0.4200 0.6386  5 Ni 2.40-2.45
As3 0.2500 0.6142 0.9923  5 Ni 2.43-2.63
As4 0.2500 0.7500 0.6165  4 Ni 2.38-2.43
As5 0.2500 0.8858 0.9923  5 Ni 2.43-2.63
As6 0.7500 0.1142 0.0077  5 Ni 2.43-2.63
As7 0.7500 0.2500 0.3835  4 Ni 2.38-2.43
As8 0.7500 0.3858 0.0077  5 Ni 2.43-2.63
As9 0.7500 0.5800 0.3614  5 Ni 2.40-2.45
As10 0.7500 0.9200 0.3614  5 Ni 2.40-2.45

Results
The final energy is -6.027 eV per atom. As for the space group: Pmmn (59). The value obtained for the formation enthalpy at 0 K is -833 meV/atom. The calculation puts the total moment at 0.00 μB/f.u.

=====

Record 10
A plane-wave DFT calculation with PBE was carried out for a relaxed structure of PrSiTe2.

abc: 9.6736 9.6736 9.6736
angles: 23.61 23.61 23.61
With the nearest neighbours (Å) after each atom.
Element x y z (fractional)
Pr1 0.0000 0.0000 0.0000  2 Te 3.11
Si1 0.5000 0.5000 0.5000  6 Te 2.78
Te1 0.1102 0.1102 0.1102  3 Si 2.78, 1 Pr 3.11
Te2 0.8898 0.8898 0.8898  3 Si 2.78, 1 Pr 3.11

Results
The final energy is -4.216 eV per atom. As for the space group: R-3m (166). The calculation puts the total moment at 0.00 μB/f.u. The energy relative to the elements, uncorrected comes out at -0.09 eV per atom.

=====

Record 11
A plane-wave DFT calculation with PBE was carried out for a relaxed structure of Rb2YMg.

abc: 8.4405 8.4405 8.4405
angles: 99.70 99.70 131.53
With the nearest neighbours (Å) after each atom.
Element x y z (fractional)
Rb1 0.0797 0.6250 0.9547  2 Rb 3.60, 2 Mg 3.62
Rb2 0.3750 0.3297 0.4547  2 Rb 3.60, 2 Mg 3.62
Rb3 0.6703 0.1250 0.0453  2 Rb 3.60, 2 Mg 3.62
Rb4 0.8750 0.9203 0.5453  2 Rb 3.60, 2 Mg 3.62
Y1 0.2500 0.7500 0.5000  2 Mg 3.46
Y2 0.5000 0.5000 0.0000  2 Mg 3.46
Mg1 0.0000 0.0000 0.0000  2 Y 3.46, 4 Rb 3.62
Mg2 0.7500 0.2500 0.5000  2 Y 3.46, 4 Rb 3.62

Results
The final energy is -1.790 eV per atom. As for the space group: I-42d (122). The value obtained for the formation enthalpy at 0 K is 708 meV/atom. The calculation puts the total moment at 1.04 μB/f.u.

=====

Record 12
A plane-wave DFT calculation with PBE was carried out for a relaxed structure of Hf4FePb.

abc: 7.9423 6.6272 5.5205
angles: 90.00 108.19 90.00
With the nearest neighbours (Å) after each atom.
Element x y z (fractional)
Hf1 0.1323 0.1481 0.1520  2 Fe 2.59-2.65
Hf2 0.1323 0.3519 0.6520  2 Fe 2.59-2.65
Hf3 0.2400 0.6667 0.2906  1 Fe 2.35
Hf4 0.2400 0.8333 0.7906  1 Fe 2.35
Hf5 0.7600 0.1667 0.2094  1 Fe 2.35
Hf6 0.7600 0.3333 0.7094  1 Fe 2.35
Hf7 0.8677 0.6481 0.3480  2 Fe 2.59-2.65
Hf8 0.8677 0.8519 0.8480  2 Fe 2.59-2.65
Fe1 0.0000 0.0000 0.5000  4 Hf 2.35-2.59
Fe2 0.0000 0.5000 0.0000  4 Hf 2.35-2.59
Pb1 0.5000 0.0000 0.5000  6 Hf 3.00-3.18
Pb2 0.5000 0.5000 0.0000  6 Hf 3.00-3.18

Results
The final energy is -8.549 eV per atom. As for the space group: P2_1/c (14). The value obtained for the formation enthalpy at 0 K is 115 meV/atom. The calculation puts the total moment at 0.00 μB/f.u. The energy relative to the lowest polymorph listed for this composition is 0.209 eV per atom.